Computed, not measured: an optimized crystal structure of Li2HPd4Au2 at the PBE level of DFT.

Cell lengths 5.654, 5.654, 5.654 Å; angles 121.24, 121.24, 87.86 degrees
Fractional positions:
1 Li 0.244 0.244 0.000
2 Li 0.756 0.756 0.000
3 H 0.500 0.500 0.000
4 Pd 0.250 0.250 0.500
5 Pd 0.250 0.750 0.000
6 Pd 0.750 0.250 0.000
7 Pd 0.750 0.750 0.500
8 Au 0.250 0.750 0.500
9 Au 0.750 0.250 0.500

Computed properties:
The density of states at the Fermi level comes out at 6.3 states/eV/cell. The value obtained for the total magnetization is 0.00 Bohr magnetons per cell. As for the uncorrected energy: -37.54 eV/f.u. Its space-group type is No. 139.